Record 1
Below is a relaxed structure of GaAs2PBr, with properties calculated at the PBE level.

Summary:
- Formation energy without anion corrections: 884.3 meV/atom
- Total moment: 0.00 μB per atom
- Volume: 24.4 Å³/atom
- Symmetry: P4/mmm (123)
- Offset from the most stable computed form: 413 meV per atom

abc: 5.016 5.016 4.850
angles: 90.00 90.00 90.00
Atoms (fractional coordinates):
As1 0.000 0.500 0.000
Ga1 0.000 0.000 0.000
P1 0.500 0.500 0.500
As2 0.500 0.000 0.000
Br1 0.000 0.000 0.500

=====

Record 2
Below is a relaxed structure of CsAg9Sb4, with properties calculated at the PBE level.

Summary:
- Formation energy without anion corrections: -18.4 meV/atom
- Total moment: 0.00 μB per atom
- Volume: 23.3 Å³/atom
- Symmetry: I4/mcm (140)

abc: 9.591 9.591 9.820
angles: 119.23 119.23 90.00
Atoms (fractional coordinates):
Ag1 0.708 0.437 0.645
Sb1 0.055 0.555 0.749
Ag2 0.556 0.296 0.000
Sb2 0.194 0.055 0.749
Sb3 0.555 0.694 0.749
Ag3 0.208 0.708 0.645
Ag4 0.444 0.704 0.000
Ag5 0.063 0.792 0.355
Ag6 0.704 0.556 0.000
Ag7 0.204 0.944 0.000
Ag8 0.056 0.204 0.000
Cs1 0.750 0.750 0.500
Ag9 0.292 0.563 0.355
Sb4 0.694 0.194 0.749
Ag10 0.944 0.796 0.000
Ag11 0.792 0.292 0.355
Sb5 0.445 0.306 0.251
Ag12 0.296 0.444 0.000
Ag13 0.000 0.500 0.000
Ag14 0.437 0.937 0.645
Sb6 0.306 0.806 0.251
Ag15 0.500 0.000 0.000
Cs2 0.250 0.250 0.500
Ag16 0.563 0.063 0.355
Ag17 0.796 0.056 0.000
Ag18 0.937 0.208 0.645
Sb7 0.945 0.445 0.251
Sb8 0.806 0.945 0.251

=====

Record 3
Below is a relaxed structure of RbHo4Ga3O12, with properties calculated at the PBE level.

Summary:
- Formation energy without anion corrections: -2402.6 meV/atom
- Total moment: 0.10 μB per atom
- Volume: 13.8 Å³/atom
- Symmetry: Im-3 (204)

abc: 7.110 7.110 7.110
angles: 109.47 109.47 109.47
Site moments in Bohr magnetons follow the coordinates.
Atoms (fractional coordinates):
O1 0.508 0.669 0.839  0.15
O2 0.839 0.508 0.669  0.15
Ho1 0.500 0.000 0.000  -0.01
O3 0.669 0.839 0.508  0.15
Ho2 0.000 0.500 0.000  -0.01
O4 0.839 0.170 0.331  0.15
Ga1 0.500 0.000 0.500  -0.01
O5 0.830 0.669 0.161  0.15
Rb1 0.000 0.000 0.000  0.00
O6 0.161 0.830 0.669  0.15
O7 0.331 0.161 0.492  0.15
Ho3 0.000 0.000 0.500  -0.01
Ga2 0.000 0.500 0.500  -0.01
Ga3 0.500 0.500 0.000  -0.01
O8 0.170 0.331 0.839  0.15
O9 0.331 0.839 0.170  0.15
O10 0.161 0.492 0.331  0.15
O11 0.492 0.331 0.161  0.15
O12 0.669 0.161 0.830  0.15
Ho4 0.500 0.500 0.500  -0.01

=====

Record 4
Below is a relaxed structure of Np2GaOs, with properties calculated at the PBE level.

Summary:
- ΔH_f (0 K): 0.3615 eV per atom
- Total moment: 1.45 μB per atom
- Volume: 19.4 Å³/atom
- Symmetry: R-3m (166)
- Offset from the most stable computed form: 311 meV per atom

abc: 2.832 2.832 11.295
angles: 82.80 82.80 60.00
Site moments in Bohr magnetons follow the coordinates.
Atoms (fractional coordinates):
Os1 0.500 0.500 0.500  -0.11
Np1 0.092 0.092 0.723  2.95
Ga1 0.000 0.000 0.000  -0.04
Np2 0.908 0.908 0.277  2.95

=====

Record 5
Below is a relaxed structure of ReTc2S, with properties calculated at the PBE level.

Summary:
- Formation energy without anion corrections: 532.1 meV/atom
- Total moment: 0.00 μB per atom
- Volume: 19.9 Å³/atom
- Symmetry: I-42d (122)

abc: 5.447 5.447 6.599
angles: 65.63 65.63 90.00
Atoms (fractional coordinates):
Re1 0.000 0.000 0.000
Tc1 0.605 0.125 0.250
Tc2 0.375 0.395 0.750
Tc3 0.145 0.625 0.250
S1 0.500 0.500 0.000
Tc4 0.875 0.855 0.750
S2 0.250 0.750 0.500
Re2 0.750 0.250 0.500

=====

Record 6
Below is a relaxed structure of YMg2Mo3S8, with properties calculated at the PBE level.

Summary:
- Formation energy without anion corrections: -905.0 meV/atom
- Total moment: 0.62 μB per atom
- Volume: 21.6 Å³/atom
- Symmetry: R-3m (166)

abc: 7.494 7.494 7.494
angles: 60.64 60.64 60.64
Site moments in Bohr magnetons follow the coordinates.
Atoms (fractional coordinates):
S1 0.739 0.739 0.739  0.00
S2 0.753 0.275 0.753  0.01
Mo1 0.500 0.500 0.000  2.33
Mg1 0.877 0.877 0.877  0.02
Mg2 0.123 0.123 0.123  0.02
S3 0.247 0.725 0.247  0.01
Y1 0.500 0.500 0.500  0.06
S4 0.725 0.247 0.247  0.01
S5 0.275 0.753 0.753  0.01
S6 0.753 0.753 0.275  0.01
Mo2 0.000 0.500 0.500  2.33
Mo3 0.500 0.000 0.500  2.33
S7 0.247 0.247 0.725  0.01
S8 0.261 0.261 0.261  0.00

=====

Record 7
Below is a relaxed structure of Ca2GaN, with properties calculated at the PBE level.

Summary:
- Formation energy without anion corrections: 216.7 meV/atom
- Total moment: 0.00 μB per atom
- Volume: 20.3 Å³/atom
- Symmetry: Fm-3m (225)

abc: 4.857 4.857 4.857
angles: 60.00 60.00 60.00
Atoms (fractional coordinates):
Ca1 0.250 0.250 0.250
Ca2 0.750 0.750 0.750
N1 0.000 0.000 0.000
Ga1 0.500 0.500 0.500

=====

Record 8
Below is a relaxed structure of DySc2IrO8, with properties calculated at the PBE level.

Summary:
- Formation energy without anion corrections: -2343.4 meV/atom
- Total moment: 0.10 μB per atom
- Volume: 12.9 Å³/atom
- Symmetry: P2/m (10)

abc: 4.873 4.860 6.521
angles: 90.00 90.00 89.91
Site moments in Bohr magnetons follow the coordinates.
Atoms (fractional coordinates):
Ir1 0.000 0.000 0.000  0.58
O1 0.279 0.277 0.000  0.02
O2 0.721 0.723 0.000  0.02
Dy1 0.000 0.000 0.500  0.03
O3 0.806 0.196 0.787  0.09
Sc1 0.500 0.500 0.742  0.01
O4 0.806 0.196 0.213  0.09
O5 0.683 0.685 0.500  0.02
O6 0.317 0.315 0.500  0.02
O7 0.194 0.804 0.787  0.09
Sc2 0.500 0.500 0.258  0.01
O8 0.194 0.804 0.213  0.09